Computed, not measured: a geometry-optimized Fe4Ir15Rh structure at the GGA-PBE level of DFT. Values from VASP.

Quantum ESPRESSO input file:
```
&SYSTEM
  ibrav = 0, nat = 20, ntyp = 3
/
ATOMIC_SPECIES
Fe 55.84 Fe.upf
Ir 192.22 Ir.upf
Rh 102.91 Rh.upf
CELL_PARAMETERS angstrom
3.8066 0.0000 0.0000
0.0000 3.8066 0.0000
0.0000 0.0000 19.0089
ATOMIC_POSITIONS angstrom
Fe 0.0000 0.0000 1.8923
Fe 0.0000 0.0000 5.6834
Fe 0.0000 0.0000 13.3254
Fe 0.0000 0.0000 17.1166
Ir 0.0000 1.9033 0.0000
Ir 0.0000 1.9033 3.7708
Ir 0.0000 1.9033 7.5335
Ir 0.0000 1.9033 11.4754
Ir 0.0000 1.9033 15.2380
Ir 1.9033 0.0000 0.0000
Ir 1.9033 0.0000 3.7708
Ir 1.9033 0.0000 7.5335
Ir 1.9033 0.0000 11.4754
Ir 1.9033 0.0000 15.2380
Ir 1.9033 1.9033 1.8868
Ir 1.9033 1.9033 5.6630
Ir 1.9033 1.9033 9.5044
Ir 1.9033 1.9033 13.3459
Ir 1.9033 1.9033 17.1220
Rh 0.0000 0.0000 9.5044
```

**DOS at the Fermi energy**: 24.11 states/eV/f.u.
**Size of the total moment**: 0.002 μB/cell
**DFT formation energy**: -5 meV/atom